(1)
Density functional theory data (meta-GGA SCAN) for a PBEsol-optimized structure of CaSbAs.

The structure in POSCAR format:
```
CaSbAs
1.0
3.894 0.000 0.000
0.000 4.801 0.000
0.000 -2.401 4.158
Sb As Ca
1 1 1
Direct
0.166 0.667 0.333
0.168 0.000 0.000
0.667 0.333 0.667
```

Properties
crystal system	trigonal
space group	P3m1
formation energy without anion corrections	-0.52	eV/atom

=====

(2)
Density functional theory data (meta-GGA SCAN) for a PBEsol-optimized structure of CaSb2As.

The structure in POSCAR format:
```
CaSb2As
1.0
-0.619 -3.511 -1.904
4.623 -0.769 -0.085
-2.444 -2.280 4.998
Sb As Ca
2 1 1
Direct
0.000 0.072 0.256
0.000 0.928 0.744
0.500 0.500 0.500
0.500 0.500 0.000
```

Properties
crystal system	monoclinic
space group	P2/m
formation energy without anion corrections	-0.41	eV/atom

=====

(3)
Density functional theory data (meta-GGA SCAN) for a PBEsol-optimized structure of CaSiSb2As.

The structure in POSCAR format:
```
CaSiSb2As
1.0
5.148 0.000 0.000
0.000 5.547 0.000
0.000 0.000 5.547
Sb As Si Ca
2 1 1 1
Direct
0.000 0.000 0.500
0.000 0.500 0.000
0.500 0.000 0.000
0.500 0.500 0.500
0.000 0.000 0.000
```

Properties
crystal system	tetragonal
space group	P4/mmm
formation energy without anion corrections	1.17	eV/atom

=====

(4)
Density functional theory data (meta-GGA SCAN) for a PBEsol-optimized structure of Ca2ScAs.

The structure in POSCAR format:
```
Ca2ScAs
1.0
-0.642 0.822 3.552
-4.398 -2.749 -0.158
5.376 -3.697 -0.102
Sc As Ca
1 1 2
Direct
0.567 0.567 0.133
0.234 0.734 0.468
0.946 0.946 0.892
0.753 0.253 0.507
```

Properties
crystal system	orthorhombic
space group	Imm2
ΔE_f	-2.39	eV per formula unit

=====

(5)
Density functional theory data (meta-GGA SCAN) for a PBEsol-optimized structure of CaScAs2.

The structure in POSCAR format:
```
CaScAs2
1.0
-0.507 3.963 1.370
-3.600 2.619 -2.396
-4.190 0.775 2.721
Sc As Ca
1 2 1
Direct
0.000 0.500 0.500
0.262 0.738 0.738
0.738 0.262 0.262
0.500 0.000 0.000
```

Properties
crystal system	orthorhombic
polymorph energy (0 for the lowest one)	0.264	eV per atom
space group	Immm
ΔE_f	-3.96	eV per formula unit

=====

(6)
Density functional theory data (meta-GGA SCAN) for a PBEsol-optimized structure of CaScAs2.

The structure in POSCAR format:
```
CaScAs2
1.0
-4.673 -0.098 -1.099
3.299 -1.313 -3.422
0.385 -4.627 -1.222
Sc As Ca
1 2 1
Direct
0.000 0.000 0.000
0.250 0.500 0.250
0.750 0.500 0.750
0.500 0.000 0.500
```

Properties
crystal system	tetragonal
polymorph energy (0 for the lowest one)	0.319	eV per atom
space group	I4/mmm
ΔE_f	-3.74	eV per formula unit

=====

Repeat the third record exactly.
Density functional theory data (meta-GGA SCAN) for a PBEsol-optimized structure of CaSiSb2As.

The structure in POSCAR format:
```
CaSiSb2As
1.0
5.148 0.000 0.000
0.000 5.547 0.000
0.000 0.000 5.547
Sb As Si Ca
2 1 1 1
Direct
0.000 0.000 0.500
0.000 0.500 0.000
0.500 0.000 0.000
0.500 0.500 0.500
0.000 0.000 0.000
```

Properties
crystal system	tetragonal
space group	P4/mmm
formation energy without anion corrections	1.17	eV/atom